No. 1
Here is a relaxed TbPrSm4Ho2 crystal from Alexandria via LeMat-Bulk. Energies are from GGA-PBE.

Unit cell a=9.5509 b=9.5509 c=6.8682 alpha=111.05 beta=111.05 gamma=88.24
With the nearest neighbours (Å) after each atom.
Atoms (fractional coordinates):
Tb (0.0000, 0.0000, 0.0000)  6 Sm 3.34-3.50, 2 Tb 3.43
Tb (0.0000, 0.0000, 0.5000)  6 Sm 3.34-3.50, 2 Tb 3.43
Pr (0.0000, 0.5000, 0.0000)  6 Sm 3.36-3.43, 2 Ho 3.43
Pr (0.5000, 0.0000, 0.5000)  6 Sm 3.36-3.43, 2 Ho 3.43
Sm (0.2482, 0.2533, 0.5198)  3 Ho 3.29-3.49, 1 Pr 3.36, 2 Tb 3.37-3.50, 2 Sm 3.43
Sm (0.2512, 0.7486, 0.0001)  3 Ho 3.31-3.43, 1 Tb 3.34, 2 Pr 3.43, 2 Sm 3.43-3.44
Sm (0.2514, 0.7488, 0.4999)  3 Ho 3.31-3.43, 1 Tb 3.34, 2 Pr 3.43, 2 Sm 3.43-3.44
Sm (0.2533, 0.2482, 0.0198)  3 Ho 3.29-3.49, 1 Pr 3.36, 2 Tb 3.37-3.50, 2 Sm 3.43
Sm (0.7467, 0.7518, 0.9802)  3 Ho 3.29-3.49, 1 Pr 3.36, 2 Tb 3.37-3.50, 2 Sm 3.43
Sm (0.7488, 0.2514, 0.9999)  3 Ho 3.31-3.43, 1 Tb 3.34, 2 Pr 3.43, 2 Sm 3.43-3.44
Sm (0.7486, 0.2512, 0.5001)  3 Ho 3.31-3.43, 1 Tb 3.34, 2 Pr 3.43, 2 Sm 3.43-3.44
Sm (0.7518, 0.7467, 0.4802)  3 Ho 3.29-3.49, 1 Pr 3.36, 2 Tb 3.37-3.50, 2 Sm 3.43
Ho (0.0000, 0.5000, 0.5000)  6 Sm 3.29-3.43, 2 Pr 3.43
Ho (0.5000, 0.0000, 0.0000)  6 Sm 3.29-3.43, 2 Pr 3.43
Ho (0.5000, 0.5000, 0.0000)  6 Sm 3.31-3.49, 2 Ho 3.43
Ho (0.5000, 0.5000, 0.5000)  6 Sm 3.31-3.49, 2 Ho 3.43

Properties
Space group   C2/c (15)
Energy relative to the elements   0.4051 eV per atom
Volume   542 Å³/cell
M_tot   0.000 μB per atom
Raw total energy   -4.28 eV per atom

---

No. 2
Here is a relaxed Pr3Br crystal from Alexandria via LeMat-Bulk. Energies are from GGA-PBE.

Unit cell a=7.0454 b=7.0454 c=5.8499 alpha=90.00 beta=90.00 gamma=120.00
With the nearest neighbours (Å) after each atom.
Atoms (fractional coordinates):
Pr (0.1670, 0.3341, 0.2500)  8 Pr 3.51-3.57, 4 Br 3.52-3.56
Pr (0.1670, 0.8330, 0.2500)  8 Pr 3.51-3.57, 4 Br 3.52-3.56
Pr (0.3341, 0.1670, 0.7500)  8 Pr 3.51-3.57, 4 Br 3.52-3.56
Pr (0.6659, 0.8330, 0.2500)  8 Pr 3.51-3.57, 4 Br 3.52-3.56
Pr (0.8330, 0.1670, 0.7500)  8 Pr 3.51-3.57, 4 Br 3.52-3.56
Pr (0.8330, 0.6659, 0.7500)  8 Pr 3.51-3.57, 4 Br 3.52-3.56
Br (0.3333, 0.6667, 0.7500)  12 Pr 3.52-3.56
Br (0.6667, 0.3333, 0.2500)  12 Pr 3.52-3.56

Properties
Space group   P6_3/mmc (194)
Uncorrected formation energy   -13.12 kJ per mole of atoms
Volume   251 Å³/cell
M_tot   0.000 μB per atom
Raw total energy   -4.14 eV per atom
Energy above the most stable polymorph in this dataset   1.10 eV per formula unit

---

No. 3
Here is a relaxed TlCrCo2 crystal from Alexandria via LeMat-Bulk. Energies are from GGA-PBE.

Unit cell a=4.3658 b=4.3658 c=4.3658 alpha=60.00 beta=60.00 gamma=60.00
With the nearest neighbours (Å) after each atom.
Atoms (fractional coordinates):
Tl (0.0000, 0.0000, 0.0000)  4 Cr 2.67, 4 Co 2.67
Cr (0.7500, 0.7500, 0.7500)  4 Co 2.67, 4 Tl 2.67
Co (0.2500, 0.2500, 0.2500)  4 Co 2.67, 4 Tl 2.67
Co (0.5000, 0.5000, 0.5000)  4 Cr 2.67, 4 Co 2.67

Properties
Space group   F-43m (216)
Energy relative to the elements   0.5981 eV per atom
Volume   59 Å³/cell
M_tot   1.541 μB per atom
Raw total energy   -5.95 eV per atom
Energy above the most stable polymorph in this dataset   0.77 eV per formula unit

---

No. 4
Here is a relaxed Tm2Co5Ge3 crystal from Alexandria via LeMat-Bulk. Energies are from GGA-PBE.

Unit cell a=11.8611 b=11.8611 c=6.3195 alpha=90.00 beta=90.00 gamma=160.80
With the nearest neighbours (Å) after each atom.
Atoms (fractional coordinates):
Tm (0.0156, 0.9844, 0.5000)  5 Ge 2.76-2.87, 6 Co 2.83-3.05
Tm (0.3247, 0.6753, 0.5082)  9 Co 2.79-3.07, 4 Ge 2.90-2.96
Tm (0.6753, 0.3247, 0.0082)  9 Co 2.79-3.07, 4 Ge 2.90-2.96
Tm (0.9844, 0.0156, 0.0000)  5 Ge 2.76-2.87, 6 Co 2.83-3.05
Co (0.1046, 0.8954, 0.8392)  3 Ge 2.35-2.61, 1 Co 2.49
Co (0.2056, 0.7944, 0.7135)  3 Ge 2.42, 2 Co 2.48-2.49
Co (0.2110, 0.7890, 0.3213)  4 Ge 2.34-2.37, 1 Co 2.48
Co (0.3698, 0.6302, 0.0207)  2 Ge 2.35-2.48
Co (0.4419, 0.5581, 0.6670)  3 Ge 2.40-2.41
Co (0.5581, 0.4419, 0.1670)  3 Ge 2.40-2.41
Co (0.6302, 0.3698, 0.5207)  2 Ge 2.35-2.48
Co (0.7890, 0.2110, 0.8213)  4 Ge 2.34-2.37, 1 Co 2.48
Co (0.7944, 0.2056, 0.2135)  3 Ge 2.42, 2 Co 2.48-2.49
Co (0.8954, 0.1046, 0.3392)  3 Ge 2.35-2.61, 1 Co 2.49
Ge (0.1127, 0.8873, 0.2517)  4 Co 2.34-2.61
Ge (0.2692, 0.7308, 0.0147)  7 Co 2.35-2.42
Ge (0.4476, 0.5524, 0.2882)  4 Co 2.35-2.48
Ge (0.5524, 0.4476, 0.7882)  4 Co 2.35-2.48
Ge (0.7308, 0.2692, 0.5147)  7 Co 2.35-2.42
Ge (0.8873, 0.1127, 0.7517)  4 Co 2.34-2.61

Properties
Space group   Cmc2_1 (36)
Energy relative to the elements   -0.3727 eV per atom
Volume   292 Å³/cell
M_tot   0.000 μB per atom
Raw total energy   -6.21 eV per atom

---

No. 5
Here is a relaxed Dy5Pt2Pb crystal from Alexandria via LeMat-Bulk. Energies are from GGA-PBE.

Unit cell a=8.7590 b=8.7590 c=8.7590 alpha=126.66 beta=126.66 gamma=78.80
With the nearest neighbours (Å) after each atom.
Atoms (fractional coordinates):
Dy (0.0000, 0.0000, 0.0000)  4 Pt 3.05, 2 Pb 3.38
Dy (0.0213, 0.5213, 0.8160)  3 Pt 2.94-2.97
Dy (0.2053, 0.0213, 0.5000)  3 Pt 2.94-2.97
Dy (0.2947, 0.7947, 0.8160)  3 Pt 2.94-2.97
Dy (0.4787, 0.2947, 0.5000)  3 Pt 2.94-2.97
Dy (0.5000, 0.5000, 0.0000)  4 Pt 3.05, 2 Pb 3.38
Dy (0.5213, 0.7053, 0.5000)  3 Pt 2.94-2.97
Dy (0.7053, 0.2053, 0.1840)  3 Pt 2.94-2.97
Dy (0.7947, 0.9787, 0.5000)  3 Pt 2.94-2.97
Dy (0.9787, 0.4787, 0.1840)  3 Pt 2.94-2.97
Pt (0.1369, 0.3631, 0.5000)  8 Dy 2.94-3.05, 1 Pt 3.05
Pt (0.3631, 0.8631, 0.2262)  8 Dy 2.94-3.05, 1 Pt 3.05
Pt (0.6369, 0.1369, 0.7738)  8 Dy 2.94-3.05, 1 Pt 3.05
Pt (0.8631, 0.6369, 0.5000)  8 Dy 2.94-3.05, 1 Pt 3.05
Pb (0.2500, 0.2500, 0.0000)  10 Dy 3.34-3.38
Pb (0.7500, 0.7500, 0.0000)  10 Dy 3.34-3.38

Properties
Space group   I4/mcm (140)
Energy relative to the elements   -0.8599 eV per atom
Volume   418 Å³/cell
M_tot   0.000 μB per atom
Raw total energy   -5.71 eV per atom

---

No. 6
Here is a relaxed TlCr2Cl crystal from Alexandria via LeMat-Bulk. Energies are from GGA-PBE.

Unit cell a=3.2940 b=4.4743 c=5.9360 alpha=90.00 beta=90.00 gamma=90.00
With the nearest neighbours (Å) after each atom.
Atoms (fractional coordinates):
Tl (0.0000, 0.0000, 0.0000)  4 Cr 2.78
Cr (0.0000, 0.5000, 0.5000)  4 Cl 2.78
Cr (0.5000, 0.5000, 0.0000)  4 Tl 2.78
Cl (0.5000, 0.0000, 0.5000)  4 Cr 2.78

Properties
Space group   Pmmm (47)
Uncorrected formation energy   53.26 kJ per mole of atoms
Volume   87 Å³/cell
M_tot   2.166 μB per atom
Raw total energy   -5.31 eV per atom
Energy above the most stable polymorph in this dataset   1.68 eV per formula unit